Entry 1:
# Nd3SmRu (PBE, relaxed)
# total magnetic moment: 0.00 μB/f.u.
# energy relative to the lowest polymorph listed for this composition: 0 meV/atom
# formation energy from the elements: -151 meV/atom
# N(E_F): 19.49 states/eV/cell
data_Nd3SmRu
_chemical_formula_sum 'Nd12 Sm4 Ru4'
_symmetry_space_group_name_H-M 'C 1 2/m 1'
_symmetry_Int_Tables_number 12
_cell_length_a 12.103
_cell_length_b 8.763
_cell_length_c 8.447
_cell_angle_alpha 90.00
_cell_angle_beta 134.09
_cell_angle_gamma 90.00
loop_
_symmetry_equiv_pos_as_xyz
'x,y,z'
'-x,-y,-z'
'-x,y,-z'
'x,-y,z'
'x+1/2,y+1/2,z'
'-x+1/2,-y+1/2,-z'
'-x+1/2,y+1/2,-z'
'x+1/2,-y+1/2,z'
loop_
_atom_site_label
_atom_site_fract_x
_atom_site_fract_y
_atom_site_fract_z
Nd1 0.050 0.000 0.343
Nd2 0.248 0.301 0.792
Sm1 0.049 0.500 0.253
Ru1 0.249 0.500 0.130

Entry 2:
# Nd4Sm3Ru4 (PBE, relaxed)
# total magnetic moment: 0.00 μB/f.u.
# formation energy from the elements: -129 meV/atom
# N(E_F): 13.04 states/eV/cell
data_Nd4Sm3Ru4
_chemical_formula_sum 'Nd8 Sm6 Ru8'
_symmetry_space_group_name_H-M 'I m m m'
_symmetry_Int_Tables_number 71
_symmetry_space_group_name_Hall '-I 2 2'
_cell_length_a 3.617
_cell_length_b 9.048
_cell_length_c 16.883
_cell_angle_alpha 90.00
_cell_angle_beta 90.00
_cell_angle_gamma 90.00
loop_
_atom_site_label
_atom_site_fract_x
_atom_site_fract_y
_atom_site_fract_z
Nd1 0.000 0.191 0.164
Sm1 0.000 0.000 0.406
Sm2 0.000 0.500 0.500
Ru1 0.000 0.270 0.000
Ru2 0.000 0.500 0.236

Entry 3:
# NdSm2Ru2 (PBE, relaxed)
# total magnetic moment: 0.00 μB/f.u.
# formation energy from the elements: -111 meV/atom
# N(E_F): 7.65 states/eV/cell
data_NdSm2Ru2
_chemical_formula_sum 'Nd2 Sm4 Ru4'
_symmetry_space_group_name_H-M 'P 1 21/m 1'
_symmetry_Int_Tables_number 11
_cell_length_a 5.578
_cell_length_b 4.405
_cell_length_c 10.683
_cell_angle_alpha 90.00
_cell_angle_beta 97.86
_cell_angle_gamma 90.00
loop_
_symmetry_equiv_pos_as_xyz
'x,y,z'
'-x,-y,-z'
'-x,y+1/2,-z'
'x,-y+1/2,z'
loop_
_atom_site_label
_atom_site_fract_x
_atom_site_fract_y
_atom_site_fract_z
Nd1 0.078 0.250 0.281
Sm1 0.253 0.250 0.973
Sm2 0.393 0.250 0.613
Ru1 0.138 0.750 0.459
Ru2 0.257 0.750 0.149

Entry 4:
# Nd4SmRu (PBE, relaxed)
# total magnetic moment: 0.00 μB/f.u.
# formation energy from the elements: -38 meV/atom
# N(E_F): 33.51 states/eV/cell
data_Nd4SmRu
_chemical_formula_sum 'Nd16 Sm4 Ru4'
_symmetry_space_group_name_H-M 'C 1 2/m 1'
_symmetry_Int_Tables_number 12
_cell_length_a 17.625
_cell_length_b 7.607
_cell_length_c 6.117
_cell_angle_alpha 90.00
_cell_angle_beta 110.27
_cell_angle_gamma 90.00
loop_
_symmetry_equiv_pos_as_xyz
'x,y,z'
'-x,-y,-z'
'-x,y,-z'
'x,-y,z'
'x+1/2,y+1/2,z'
'-x+1/2,-y+1/2,-z'
'-x+1/2,y+1/2,-z'
'x+1/2,-y+1/2,z'
loop_
_atom_site_label
_atom_site_fract_x
_atom_site_fract_y
_atom_site_fract_z
Nd1 0.000 0.207 0.000
Nd2 0.114 0.253 0.614
Nd3 0.171 0.500 0.171
Sm1 0.200 0.000 0.200
Ru1 0.001 0.500 0.740

Entry 5:
# Nd3Sm4Ru4 (PBE, relaxed)
# total magnetic moment: 0.00 μB/f.u.
# formation energy from the elements: -148 meV/atom
# N(E_F): 16.09 states/eV/cell
data_Nd3Sm4Ru4
_chemical_formula_sum 'Nd6 Sm8 Ru8'
_symmetry_space_group_name_H-M 'I m m m'
_symmetry_Int_Tables_number 71
_symmetry_space_group_name_Hall '-I 2 2'
_cell_length_a 3.697
_cell_length_b 9.117
_cell_length_c 16.440
_cell_angle_alpha 90.00
_cell_angle_beta 90.00
_cell_angle_gamma 90.00
loop_
_atom_site_label
_atom_site_fract_x
_atom_site_fract_y
_atom_site_fract_z
Nd1 0.000 0.000 0.000
Nd2 0.000 0.500 0.099
Sm1 0.000 0.311 0.335
Ru1 0.000 0.000 0.255
Ru2 0.000 0.230 0.500

Entry 6:
# NdSm2Ru (PBE, relaxed)
# total magnetic moment: 0.00 μB/f.u.
# energy relative to the lowest polymorph listed for this composition: 0 meV/atom
# formation energy from the elements: -221 meV/atom
# N(E_F): 15.46 states/eV/cell
data_NdSm2Ru
_chemical_formula_sum 'Nd4 Sm8 Ru4'
_symmetry_space_group_name_H-M 'P n m a'
_symmetry_Int_Tables_number 62
_cell_length_a 7.400
_cell_length_b 9.600
_cell_length_c 6.465
_cell_angle_alpha 90.00
_cell_angle_beta 90.00
_cell_angle_gamma 90.00
loop_
_symmetry_equiv_pos_as_xyz
'x,y,z'
'-x,-y,-z'
'-x+1/2,-y,z+1/2'
'x+1/2,y,-z+1/2'
'x+1/2,-y+1/2,-z+1/2'
'-x+1/2,y+1/2,z+1/2'
'-x,y+1/2,-z'
'x,-y+1/2,z'
loop_
_atom_site_label
_atom_site_fract_x
_atom_site_fract_y
_atom_site_fract_z
Nd1 0.042 0.250 0.141
Sm1 0.176 0.067 0.670
Ru1 0.114 0.750 0.447

Entry 7:
# Nd3SmRu (PBE, relaxed)
# total magnetic moment: 0.82 μB/f.u.
# energy relative to the lowest polymorph listed for this composition: 191 meV/atom
# formation energy from the elements: 40 meV/atom
# N(E_F): 8.93 states/eV/cell
data_Nd3SmRu
_chemical_formula_sum 'Nd3 Sm1 Ru1'
_symmetry_space_group_name_H-M 'P m -3 m'
_symmetry_Int_Tables_number 221
_symmetry_space_group_name_Hall '-P 4 2 3'
_cell_length_a 5.545
_cell_length_b 5.545
_cell_length_c 5.545
_cell_angle_alpha 90.00
_cell_angle_beta 90.00
_cell_angle_gamma 90.00
loop_
_atom_site_label
_atom_site_fract_x
_atom_site_fract_y
_atom_site_fract_z
Nd1 0.000 0.000 0.500
Sm1 0.500 0.500 0.500
Ru1 0.000 0.000 0.000

Entry 8:
# NdSm2Ru (PBE, relaxed)
# total magnetic moment: 0.01 μB/f.u.
# energy relative to the lowest polymorph listed for this composition: 377 meV/atom
# formation energy from the elements: 156 meV/atom
# N(E_F): 17.60 states/eV/cell
data_NdSm2Ru
_chemical_formula_sum 'Nd3 Sm6 Ru3'
_symmetry_space_group_name_H-M 'R -3 m'
_symmetry_Int_Tables_number 166
_symmetry_space_group_name_Hall '-R 3 2"'
_cell_length_a 3.7183
_cell_length_b 3.7183
_cell_length_c 31.9101
_cell_angle_alpha 90.00
_cell_angle_beta 90.00
_cell_angle_gamma 120.00
loop_
_atom_site_label
_atom_site_fract_x
_atom_site_fract_y
_atom_site_fract_z
Nd1 0.0000 0.0000 0.0000
Sm1 0.0000 0.0000 0.1115
Ru1 0.0000 0.0000 0.5000

Entry 9:
# NdSm3Ru (PBE, relaxed)
# total magnetic moment: 0.00 μB/f.u.
# energy relative to the lowest polymorph listed for this composition: 76 meV/atom
# formation energy from the elements: -87 meV/atom
# N(E_F): 12.26 states/eV/cell
data_NdSm3Ru
_chemical_formula_sum 'Nd2 Sm6 Ru2'
_symmetry_space_group_name_H-M 'P m n 21'
_symmetry_Int_Tables_number 31
_cell_length_a 7.770
_cell_length_b 6.546
_cell_length_c 6.372
_cell_angle_alpha 90.00
_cell_angle_beta 90.00
_cell_angle_gamma 90.00
loop_
_symmetry_equiv_pos_as_xyz
'x,y,z'
'-x+1/2,-y,z+1/2'
'-x,y,z'
'x+1/2,-y,z+1/2'
loop_
_atom_site_label
_atom_site_fract_x
_atom_site_fract_y
_atom_site_fract_z
Nd1 0.000 0.155 0.000
Sm1 0.000 0.841 0.489
Sm2 0.250 0.323 0.494
Ru1 0.000 0.501 0.744

Entry 10:
# Nd2Sm2Ru3 (PBE, relaxed)
# total magnetic moment: 0.00 μB/f.u.
# formation energy from the elements: -158 meV/atom
# N(E_F): 5.37 states/eV/cell
data_Nd2Sm2Ru3
_chemical_formula_sum 'Nd2 Sm2 Ru3'
_symmetry_space_group_name_H-M 'P -1'
_symmetry_Int_Tables_number 2
_cell_length_a 4.868
_cell_length_b 4.936
_cell_length_c 7.831
_cell_angle_alpha 71.78
_cell_angle_beta 71.95
_cell_angle_gamma 89.98
loop_
_symmetry_equiv_pos_as_xyz
'x,y,z'
'-x,-y,-z'
loop_
_atom_site_label
_atom_site_fract_x
_atom_site_fract_y
_atom_site_fract_z
Nd1 0.126 0.126 0.249
Sm1 0.373 0.372 0.753
Ru1 0.000 0.500 0.500
Ru2 0.250 0.750 0.000

Entry 11:
# Nd2SmRu (PBE, relaxed)
# total magnetic moment: 0.00 μB/f.u.
# energy relative to the lowest polymorph listed for this composition: 409 meV/atom
# formation energy from the elements: 205 meV/atom
# N(E_F): 21.08 states/eV/cell
data_Nd2SmRu
_chemical_formula_sum 'Nd6 Sm3 Ru3'
_symmetry_space_group_name_H-M 'R -3 m'
_symmetry_Int_Tables_number 166
_symmetry_space_group_name_Hall '-R 3 2"'
_cell_length_a 3.7052
_cell_length_b 3.7052
_cell_length_c 31.9194
_cell_angle_alpha 90.00
_cell_angle_beta 90.00
_cell_angle_gamma 120.00
loop_
_atom_site_label
_atom_site_fract_x
_atom_site_fract_y
_atom_site_fract_z
Nd1 0.0000 0.0000 0.1092
Sm1 0.0000 0.0000 0.0000
Ru1 0.0000 0.0000 0.5000

Entry 12:
# Nd3SmRu (PBE, relaxed)
# total magnetic moment: 0.00 μB/f.u.
# energy relative to the lowest polymorph listed for this composition: 53 meV/atom
# formation energy from the elements: -98 meV/atom
# N(E_F): 23.13 states/eV/cell
data_Nd3SmRu
_chemical_formula_sum 'Nd12 Sm4 Ru4'
_symmetry_space_group_name_H-M 'I m a 2'
_symmetry_Int_Tables_number 46
_cell_length_a 9.403
_cell_length_b 7.529
_cell_length_c 9.023
_cell_angle_alpha 90.00
_cell_angle_beta 90.00
_cell_angle_gamma 90.00
loop_
_symmetry_equiv_pos_as_xyz
'x,y,z'
'-x,-y,z'
'-x+1/2,y,z'
'x+1/2,-y,z'
'x+1/2,y+1/2,z+1/2'
'-x+1/2,-y+1/2,z+1/2'
'-x,y+1/2,z+1/2'
'x,-y+1/2,z+1/2'
loop_
_atom_site_label
_atom_site_fract_x
_atom_site_fract_y
_atom_site_fract_z
Nd1 0.042 0.249 0.000
Nd2 0.250 0.521 0.751
Sm1 0.250 0.525 0.249
Ru1 0.250 0.748 0.500